# YTi4Ru5, relaxed, DFT PBE-GGA
data_YTi4Ru5
_chemical_formula_sum 'Y1 Ti4 Ru5'
_symmetry_space_group_name_H-M 'P 4/m m m'
_symmetry_Int_Tables_number 123
_symmetry_space_group_name_Hall '-P 4 2'
_cell_length_a 3.1255
_cell_length_b 3.1255
_cell_length_c 16.0077
_cell_angle_alpha 90.00
_cell_angle_beta 90.00
_cell_angle_gamma 90.00
loop_
_atom_site_label
_atom_site_fract_x
_atom_site_fract_y
_atom_site_fract_z
Y1 0.0000 0.0000 0.0000
Ti1 0.0000 0.0000 0.2101
Ti2 0.0000 0.0000 0.4036
Ru1 0.5000 0.5000 0.1233
Ru2 0.5000 0.5000 0.3108
Ru3 0.5000 0.5000 0.5000
# ΔH_f (0 K), eV/atom: -0.650
# V, Å³/f.u.: 156.4
# Total moment, μB/f.u.: 0.00


# Y2TiRu2, relaxed, DFT PBE-GGA
data_Y2TiRu2
_chemical_formula_sum 'Y4 Ti2 Ru4'
_symmetry_space_group_name_H-M 'P 4/m b m'
_symmetry_Int_Tables_number 127
_symmetry_space_group_name_Hall '-P 4 2ab'
_cell_length_a 6.7645
_cell_length_b 6.7645
_cell_length_c 4.5248
_cell_angle_alpha 90.00
_cell_angle_beta 90.00
_cell_angle_gamma 90.00
loop_
_atom_site_label
_atom_site_fract_x
_atom_site_fract_y
_atom_site_fract_z
Y1 0.1777 0.3223 0.0000
Ti1 0.0000 0.0000 0.5000
Ru1 0.1328 0.6328 0.5000
# ΔH_f (0 K), eV/atom: -0.286
# V, Å³/f.u.: 103.5
# Total moment, μB/f.u.: 0.00


# YTiRu2, relaxed, DFT PBE-GGA
data_YTiRu2
_chemical_formula_sum 'Y1 Ti1 Ru2'
_symmetry_space_group_name_H-M 'P 4/m m m'
_symmetry_Int_Tables_number 123
_symmetry_space_group_name_Hall '-P 4 2'
_cell_length_a 4.5946
_cell_length_b 4.5946
_cell_length_c 3.2458
_cell_angle_alpha 90.00
_cell_angle_beta 90.00
_cell_angle_gamma 90.00
loop_
_atom_site_label
_atom_site_fract_x
_atom_site_fract_y
_atom_site_fract_z
Y1 0.0000 0.0000 0.0000
Ti1 0.5000 0.5000 0.0000
Ru1 0.0000 0.5000 0.5000
# ΔH_f (0 K), eV/atom: -0.369
# V, Å³/f.u.: 68.5
# Total moment, μB/f.u.: 0.00


# Ti2Zn2Ru, relaxed, DFT PBE-GGA
data_Ti2Zn2Ru
_chemical_formula_sum 'Ti4 Zn4 Ru2'
_symmetry_space_group_name_H-M 'P 4/m b m'
_symmetry_Int_Tables_number 127
_symmetry_space_group_name_Hall '-P 4 2ab'
_cell_length_a 6.7266
_cell_length_b 6.7266
_cell_length_c 3.3406
_cell_angle_alpha 90.00
_cell_angle_beta 90.00
_cell_angle_gamma 90.00
loop_
_atom_site_label
_atom_site_fract_x
_atom_site_fract_y
_atom_site_fract_z
Ti1 0.1780 0.3220 0.0000
Zn1 0.1259 0.6259 0.5000
Ru1 0.0000 0.0000 0.5000
# ΔH_f (0 K), eV/atom: -0.135
# V, Å³/f.u.: 75.6
# Total moment, μB/f.u.: 0.00


# Ti3ZnRu, relaxed, DFT PBE-GGA
data_Ti3ZnRu
_chemical_formula_sum 'Ti3 Zn1 Ru1'
_symmetry_space_group_name_H-M 'P m -3 m'
_symmetry_Int_Tables_number 221
_symmetry_space_group_name_Hall '-P 4 2 3'
_cell_length_a 4.5539
_cell_length_b 4.5539
_cell_length_c 4.5539
_cell_angle_alpha 90.00
_cell_angle_beta 90.00
_cell_angle_gamma 90.00
loop_
_atom_site_label
_atom_site_fract_x
_atom_site_fract_y
_atom_site_fract_z
Ti1 0.0000 0.0000 0.5000
Zn1 0.0000 0.0000 0.0000
Ru1 0.5000 0.5000 0.5000
# ΔH_f (0 K), eV/atom: 0.985
# V, Å³/f.u.: 94.4
# Total moment, μB/f.u.: 0.00


# TiZn2Ru, relaxed, DFT PBE-GGA
data_TiZn2Ru
_chemical_formula_sum 'Ti4 Zn8 Ru4'
_symmetry_space_group_name_H-M 'I -4 2 d'
_symmetry_Int_Tables_number 122
_symmetry_space_group_name_Hall 'I -4 2bw'
_cell_length_a 3.6164
_cell_length_b 3.6164
_cell_length_c 19.2158
_cell_angle_alpha 90.00
_cell_angle_beta 90.00
_cell_angle_gamma 90.00
loop_
_atom_site_label
_atom_site_fract_x
_atom_site_fract_y
_atom_site_fract_z
Ti1 0.0000 0.0000 0.0000
Zn1 0.2377 0.2500 0.6250
Ru1 0.0000 0.0000 0.5000
# ΔH_f (0 K), eV/atom: 0.052
# V, Å³/f.u.: 62.8
# Total moment, μB/f.u.: 0.00


# TiZnRu2, relaxed, DFT PBE-GGA
data_TiZnRu2
_chemical_formula_sum 'Ti1 Zn1 Ru2'
_symmetry_space_group_name_H-M 'P 4/m m m'
_symmetry_Int_Tables_number 123
_symmetry_space_group_name_Hall '-P 4 2'
_cell_length_a 3.0807
_cell_length_b 3.0807
_cell_length_c 5.9956
_cell_angle_alpha 90.00
_cell_angle_beta 90.00
_cell_angle_gamma 90.00
loop_
_atom_site_label
_atom_site_fract_x
_atom_site_fract_y
_atom_site_fract_z
Ti1 0.0000 0.0000 0.0000
Zn1 0.0000 0.0000 0.5000
Ru1 0.5000 0.5000 0.2516
# ΔH_f (0 K), eV/atom: -0.359
# V, Å³/f.u.: 56.9
# Total moment, μB/f.u.: 0.00


# TiZnRu, relaxed, DFT PBE-GGA
data_TiZnRu
_chemical_formula_sum 'Ti2 Zn2 Ru2'
_symmetry_space_group_name_H-M 'P 63/m m c'
_symmetry_Int_Tables_number 194
_symmetry_space_group_name_Hall '-P 6c 2c'
_cell_length_a 4.3108
_cell_length_b 4.3108
_cell_length_c 5.4140
_cell_angle_alpha 90.00
_cell_angle_beta 90.00
_cell_angle_gamma 120.00
loop_
_atom_site_label
_atom_site_fract_x
_atom_site_fract_y
_atom_site_fract_z
Ti1 0.3333 0.6667 0.2500
Zn1 0.3333 0.6667 0.7500
Ru1 0.0000 0.0000 0.0000
# ΔH_f (0 K), eV/atom: -0.207
# V, Å³/f.u.: 43.6
# Total moment, μB/f.u.: 0.00


# Ti2ZnRu2, relaxed, DFT PBE-GGA
data_Ti2ZnRu2
_chemical_formula_sum 'Ti4 Zn2 Ru4'
_symmetry_space_group_name_H-M 'P 4/m b m'
_symmetry_Int_Tables_number 127
_symmetry_space_group_name_Hall '-P 4 2ab'
_cell_length_a 7.1573
_cell_length_b 7.1573
_cell_length_c 3.0501
_cell_angle_alpha 90.00
_cell_angle_beta 90.00
_cell_angle_gamma 90.00
loop_
_atom_site_label
_atom_site_fract_x
_atom_site_fract_y
_atom_site_fract_z
Ti1 0.1539 0.3461 0.0000
Zn1 0.0000 0.0000 0.5000
Ru1 0.1457 0.6457 0.5000
# ΔH_f (0 K), eV/atom: -0.329
# V, Å³/f.u.: 78.1
# Total moment, μB/f.u.: 0.00


# Ti4Zn3Ru, relaxed, DFT PBE-GGA
data_Ti4Zn3Ru
_chemical_formula_sum 'Ti4 Zn3 Ru1'
_symmetry_space_group_name_H-M 'P 4/m m m'
_symmetry_Int_Tables_number 123
_symmetry_space_group_name_Hall '-P 4 2'
_cell_length_a 3.1173
_cell_length_b 3.1173
_cell_length_c 12.5989
_cell_angle_alpha 90.00
_cell_angle_beta 90.00
_cell_angle_gamma 90.00
loop_
_atom_site_label
_atom_site_fract_x
_atom_site_fract_y
_atom_site_fract_z
Ti1 0.0000 0.0000 0.1198
Ti2 0.0000 0.0000 0.3736
Zn1 0.5000 0.5000 0.2476
Zn2 0.5000 0.5000 0.5000
Ru1 0.5000 0.5000 0.0000
# ΔH_f (0 K), eV/atom: -0.322
# V, Å³/f.u.: 122.4
# Total moment, μB/f.u.: 0.00


# Ti6Zn5Ru, relaxed, DFT PBE-GGA
data_Ti6Zn5Ru
_chemical_formula_sum 'Ti12 Zn10 Ru2'
_symmetry_space_group_name_H-M 'C m m m'
_symmetry_Int_Tables_number 65
_symmetry_space_group_name_Hall '-C 2 2'
_cell_length_a 4.4329
_cell_length_b 13.2689
_cell_length_c 6.2772
_cell_angle_alpha 90.00
_cell_angle_beta 90.00
_cell_angle_gamma 90.00
loop_
_atom_site_label
_atom_site_fract_x
_atom_site_fract_y
_atom_site_fract_z
Ti1 0.0000 0.0000 0.2483
Ti2 0.0000 0.3369 0.2459
Zn1 0.0000 0.1666 0.0000
Zn2 0.0000 0.1707 0.5000
Zn3 0.0000 0.5000 0.5000
Ru1 0.0000 0.5000 0.0000
# ΔH_f (0 K), eV/atom: -0.271
# V, Å³/f.u.: 184.6
# Total moment, μB/f.u.: 0.00


# TiZnRu, relaxed, DFT PBE-GGA
data_TiZnRu
_chemical_formula_sum 'Ti2 Zn2 Ru2'
_symmetry_space_group_name_H-M 'I 4 m m'
_symmetry_Int_Tables_number 107
_symmetry_space_group_name_Hall 'I 4 -2'
_cell_length_a 3.2032
_cell_length_b 3.2032
_cell_length_c 8.6039
_cell_angle_alpha 90.00
_cell_angle_beta 90.00
_cell_angle_gamma 90.00
loop_
_atom_site_label
_atom_site_fract_x
_atom_site_fract_y
_atom_site_fract_z
Ti1 0.0000 0.0000 0.0000
Zn1 0.0000 0.0000 0.6803
Ru1 0.0000 0.0000 0.3534
# ΔH_f (0 K), eV/atom: -0.443
# V, Å³/f.u.: 44.1
# Total moment, μB/f.u.: 0.00


Raw total energy list, top to bottom, in eV per atom: -9.092, -8.161, -8.596, -5.658, -5.862, -4.878, -7.289, -6.355, -7.452, -5.907, -5.522, -6.591